# BaNbI5O16, optimized geometry, DFT PBEsol
data_BaNbI5O16
_space_group_name_H-M_alt 'C 1 c 1'
_space_group_IT_number 9
_space_group_name_Hall 'C -2yc'
_cell_length_a 13.732
_cell_length_b 7.453
_cell_length_c 14.787
_cell_angle_alpha 90.00
_cell_angle_beta 112.47
_cell_angle_gamma 90.00
loop_
_atom_site_label
_atom_site_type_symbol
_atom_site_fract_x
_atom_site_fract_y
_atom_site_fract_z
Ba1 Ba 0.000 0.149 0.000
Nb1 Nb 0.192 0.478 0.912
I1 I 0.046 0.328 0.667
I2 I 0.057 0.151 0.279
I3 I 0.260 0.142 0.576
I4 I 0.303 0.292 0.224
I5 I 0.356 0.128 0.886
O1 O 0.029 0.087 0.648
O2 O 0.066 0.361 0.356
O3 O 0.116 0.298 0.803
O4 O 0.125 0.110 0.496
O5 O 0.159 0.366 0.002
O6 O 0.205 0.380 0.273
O7 O 0.218 0.101 0.165
O8 O 0.238 0.284 0.667
O9 O 0.251 0.023 0.911
O10 O 0.285 0.332 0.497
O11 O 0.334 0.363 0.927
O12 O 0.385 0.178 0.337
O13 O 0.414 0.133 0.166
O14 O 0.454 0.452 0.810
O15 O 0.466 0.066 0.997
O16 O 0.480 0.235 0.666
# - raw formation energy (eV per atom) = -0.947
# - density (g/cm³) = 5.32